# 1
Below is La4NdTh3S8 after structural relaxation, with properties calculated at the PBE level.

```
La4NdTh3S8
1.0
-5.1806 2.6263 -5.7671
-5.9498 -4.6375 3.2328
3.9736 5.3980 4.6971
La S Th Nd
4 8 3 1
Direct
0.0000 0.0000 0.5000
0.0000 0.0000 0.0000
0.5000 0.0000 0.5000
0.5000 0.0000 0.0000
0.7519 0.2567 0.5039
0.2481 0.7433 0.4961
0.7520 0.2567 0.0048
0.2521 0.2562 0.5041
0.7479 0.7438 0.4959
0.2480 0.7433 0.9952
0.2528 0.2567 0.0048
0.7472 0.7433 0.9952
0.5000 0.5000 0.0000
0.5000 0.5000 0.5000
0.0000 0.5000 0.5000
0.0000 0.5000 0.0000
```

## Properties
- symmetry = No. 166
- density of states at the Fermi level (states/eV/f.u.) = 6.3

=====

# 2
Below is LaNdTh2S4 after structural relaxation, with properties calculated at the PBE level.

```
LaNdTh2S4
1.0
-1.9193 0.3101 3.5928
-5.8443 -2.5827 -2.8991
3.9138 -5.3201 2.5500
Th S Nd La
2 4 1 1
Direct
0.5000 0.0000 0.5000
0.0000 0.5000 0.5000
0.5000 0.2540 0.2540
0.5000 0.7460 0.7460
0.0000 0.2516 0.7476
0.0000 0.7484 0.2524
0.5000 0.5000 0.0000
0.0000 0.0000 0.0000
```

## Properties
- symmetry = No. 10
- density of states at the Fermi level (states/eV/f.u.) = 4.9

=====

# 3
Below is La4Nd3ThS8 after structural relaxation, with properties calculated at the PBE level.

```
La4Nd3ThS8
1.0
8.2147 0.0000 -0.0001
0.0000 8.2162 -0.0046
-4.1074 -4.1035 5.8115
S La Nd Th
8 4 3 1
Direct
0.2470 0.7433 0.9963
0.2517 0.2550 0.5033
0.2470 0.7433 0.4940
0.2507 0.2567 0.0037
0.7483 0.7450 0.4967
0.7493 0.7433 0.9963
0.7530 0.2567 0.0037
0.7530 0.2567 0.5060
0.5000 0.0000 0.5000
0.5000 0.0000 0.0000
0.0000 0.0000 0.0000
0.0000 0.0000 0.5000
0.5000 0.5000 0.5000
0.0000 0.5000 0.5000
0.5000 0.5000 0.0000
0.0000 0.5000 0.0000
```

## Properties
- symmetry = No. 166
- density of states at the Fermi level (states/eV/f.u.) = 10.0

=====

| no. | energy (eV per atom) | size of the total moment (μB per formula unit) |
| --- | --- | --- |
| 1 | -7.014 | 0.00 |
| 2 | -7.090 | 0.00 |
| 3 | -6.727 | 0.00 |